CuIrS2: optimized geometry, PBE.

a b c (Å): 7.121 7.121 5.705
angles (deg): 51.38 51.38 90.00
Fractional coordinates of all 8 atoms:
S 0.684 0.816 0.000
S 0.184 0.684 0.000
S 0.316 0.184 0.000
S 0.816 0.316 0.000
Cu 0.750 0.750 0.500
Cu 0.250 0.250 0.500
Ir 0.250 0.750 0.500
Ir 0.750 0.250 0.500

Summary:
**E_form (uncorrected)**: 0.254 eV per atom

***

K2AgP: optimized geometry, PBE.

a b c (Å): 4.829 3.743 7.117
angles (deg): 58.41 90.00 90.00
Fractional coordinates of all 4 atoms:
K 0.000 0.511 0.487
K 0.000 0.989 0.013
P 0.500 0.250 0.250
Ag 0.500 0.750 0.750

Summary:
**Energy of formation from the pure elements**: 0.15 eV per atom

***

Sm2ZnAu4: optimized geometry, PBE.

a b c (Å): 5.116 5.116 8.138
angles (deg): 60.95 60.95 61.10
Fractional coordinates of all 7 atoms:
Sm 0.218 0.218 0.218
Sm 0.782 0.782 0.782
Au 0.549 0.549 0.232
Au 0.791 0.791 0.384
Au 0.451 0.451 0.768
Au 0.209 0.209 0.616
Zn 0.000 0.000 0.000

Summary:
**Energy of formation from the pure elements**: -0.65 eV per atom

***

ScCd6Ag5: optimized geometry, PBE.

a b c (Å): 4.378 8.036 8.036
angles (deg): 107.87 105.77 105.77
Fractional coordinates of all 12 atoms:
Ag 0.500 0.839 0.161
Ag 0.500 0.161 0.839
Ag 0.500 0.500 0.500
Ag 0.000 0.678 0.322
Ag 0.000 0.322 0.678
Sc 0.000 0.000 0.000
Cd 0.763 0.262 0.262
Cd 0.740 0.906 0.573
Cd 0.740 0.573 0.906
Cd 0.260 0.094 0.427
Cd 0.237 0.738 0.738
Cd 0.260 0.427 0.094

Summary:
**Energy of formation from the pure elements**: -0.09 eV per atom

***

Number 1: VASP energy -20.2 eV/f.u., total moment 0.00 μB/f.u.. Number 2: VASP energy -9.9 eV/f.u., total moment 0.00 μB/f.u.. Number 3: VASP energy -28.4 eV/f.u., total moment 0.00 μB/f.u.. Number 4: VASP energy -27.1 eV/f.u., total moment 0.00 μB/f.u..